(1)
Material: Sc5Te
Method: DFT, SCAN
State: single point on PBEsol structure

Summary:
As for the density of states at the Fermi level: 6.153 states/eV/cell. The value obtained for the calculated volume is 137.6 Å³/cell. For the raw formation energy, the calculation gives -197 kJ/mol of formula units. Its crystal system is monoclinic. The value obtained for the energy above the lowest structure with this stoichiometry is 0.0219 eV per atom. The space group is Cm (8). As for the total energy: -18.412 eV per atom.

Cell lengths 3.5139, 5.8679, 7.2544 Å; angles 104.70, 90.00, 107.42 degrees
With the nearest neighbours (Å) after each atom.
Fractional positions:
Sc: 0.6620 0.3240 0.3400  9 Sc 3.05-3.26, 1 Te 3.15
Sc: 0.0447 0.0893 0.5981  8 Sc 3.06-3.19, 2 Te 3.26
Sc: 0.3788 0.7576 0.2594  2 Te 3.05, 8 Sc 3.07-3.26
Sc: 0.3359 0.6719 0.6868  2 Te 3.05, 8 Sc 3.12-3.26
Sc: 0.0220 0.0440 0.0085  3 Te 3.00-3.25, 7 Sc 3.05-3.24
Te: 0.7233 0.4466 0.9406  10 Sc 3.00-3.26

=====

(2)
Material: ZrInRu2
Method: DFT, SCAN
State: single point on PBEsol structure

Summary:
As for the density of states at the Fermi level: 3.096 states/eV/cell. The value obtained for the calculated volume is 66.8 Å³/cell. Its crystal system is monoclinic. Its formation energy is -0.05 eV per atom. The space group is C2/m (12). As for the total energy: -33.482 eV per atom.

Cell lengths 2.9046, 5.2249, 5.2249 Å; angles 111.56, 103.81, 103.81 degrees
With the nearest neighbours (Å) after each atom.
Fractional positions:
Ru: 0.0000 0.5000 0.0000  2 In 2.67, 2 Zr 2.67, 4 Ru 2.90-2.94
Ru: 0.0000 0.0000 0.5000  2 Zr 2.67, 2 In 2.67, 4 Ru 2.90-2.94
Zr: 0.5000 0.0000 0.0000  4 Ru 2.67, 2 Zr 2.90, 2 In 2.94
In: 0.5000 0.5000 0.5000  4 Ru 2.67, 2 In 2.90, 2 Zr 2.94

=====

(3)
Material: GeOsN2O
Method: DFT, SCAN
State: single point on PBEsol structure

Summary:
As for the density of states at the Fermi level: 2.491 states/eV/cell. The value obtained for the calculated volume is 50.2 Å³/cell. For the raw formation energy, the calculation gives 619 kJ/mol of formula units. Its crystal system is tetragonal. The space group is P4/mmm (123). As for the total energy: -21.873 eV per atom.

Cell lengths 3.6191, 3.7253, 3.7253 Å; angles 90.00, 90.00, 90.00 degrees
With the nearest neighbours (Å) after each atom.
Fractional positions:
N: 0.0000 0.0000 0.5000  2 Ge 1.86
N: 0.0000 0.5000 0.0000  2 Ge 1.86
Ge: 0.0000 0.0000 0.0000  2 O 1.81, 4 N 1.86
Os: 0.5000 0.5000 0.5000  8 N 2.60, 4 O 2.63
O: 0.5000 0.0000 0.0000  2 Ge 1.81

=====

(4)
Material: ZnFeNi2
Method: DFT, SCAN
State: single point on PBEsol structure

Summary:
As for the density of states at the Fermi level: 3.176 states/eV/cell. The value obtained for the calculated volume is 44.4 Å³/cell. Its crystal system is trigonal. Its formation energy is -0.01 eV per atom. The space group is R3m (160). As for the total energy: -16.006 eV per atom.

Cell lengths 2.5079, 2.5079, 8.2722 Å; angles 81.28, 81.28, 60.00 degrees
With the nearest neighbours (Å) after each atom.
Fractional positions:
Ni: 0.9999 0.9999 0.0002  3 Fe 2.44, 9 Ni 2.47-2.51
Ni: 0.7485 0.7485 0.7546  9 Ni 2.47-2.51, 3 Zn 2.50
Zn: 0.4985 0.4985 0.5045  3 Ni 2.50, 6 Zn 2.51, 3 Fe 2.59
Fe: 0.2531 0.2531 0.2407  3 Ni 2.44, 6 Fe 2.51, 3 Zn 2.59

=====

(5)
Material: KCo2Cu
Method: DFT, SCAN
State: single point on PBEsol structure

Summary:
As for the density of states at the Fermi level: 2.421 states/eV/cell. The value obtained for the calculated volume is 63.7 Å³/cell. Its crystal system is tetragonal. The value obtained for the energy above the lowest structure with this stoichiometry is 0.0000 eV per atom. Its formation energy is 0.58 eV per atom. The space group is P4mm (99). As for the total energy: -13.954 eV per atom.

Cell lengths 2.8788, 2.8734, 7.7064 Å; angles 90.00, 89.98, 90.00 degrees
With the nearest neighbours (Å) after each atom.
Fractional positions:
K: 0.5000 0.5000 0.7566  4 K 2.87-2.88
Co: 0.0002 0.0000 0.0908  4 Co 2.31, 1 Cu 2.53
Co: 0.5000 0.5000 0.2337  4 Co 2.31, 4 Cu 2.48
Cu: 0.9998 0.0000 0.4189  5 Co 2.48-2.53

=====

(6)
Material: EuAgGe
Method: DFT, SCAN
State: single point on PBEsol structure

Summary:
As for the density of states at the Fermi level: 14.396 states/eV/cell. The value obtained for the calculated volume is 130.8 Å³/cell. Its crystal system is monoclinic. Its formation energy is -0.52 eV per atom. The space group is C2/m (12). As for the total energy: -35.240 eV per atom.

Cell lengths 4.5702, 5.7614, 5.8769 Å; angles 79.24, 67.12, 66.63 degrees
With the nearest neighbours (Å) after each atom.
Fractional positions:
Ge: 0.1561 0.7950 0.8927  1 Ge 2.50, 2 Ag 2.64
Ge: 0.8439 0.2050 0.1073  1 Ge 2.50, 2 Ag 2.64
Eu: 0.4595 0.7839 0.2970  6 Ag 3.12-3.36, 6 Ge 3.16-3.33
Eu: 0.5405 0.2161 0.7030  6 Ag 3.12-3.36, 6 Ge 3.16-3.33
Ag: 0.8277 0.6161 0.7286  3 Ge 2.64-2.93, 1 Ag 2.80
Ag: 0.1723 0.3839 0.2714  3 Ge 2.64-2.93, 1 Ag 2.80

=====

(7)
Material: CaCo2Br
Method: DFT, SCAN
State: single point on PBEsol structure

Summary:
As for the density of states at the Fermi level: 1.366 states/eV/cell. The value obtained for the calculated volume is 75.9 Å³/cell. For the raw formation energy, the calculation gives -59 kJ/mol of formula units. Its crystal system is monoclinic. The value obtained for the energy above the lowest structure with this stoichiometry is 0.0000 eV per atom. The space group is Pm (6). As for the total energy: -16.086 eV per atom.

Cell lengths 3.2809, 3.2570, 7.2826 Å; angles 90.00, 102.86, 90.00 degrees
With the nearest neighbours (Å) after each atom.
Fractional positions:
Ca: 0.3181 0.5000 0.7640  1 Co 2.70, 4 Br 2.88
Br: 0.6982 0.0000 0.5212  4 Ca 2.88, 2 Co 3.13
Co: 0.9737 0.0000 0.0709  4 Co 2.37
Co: 0.5100 0.5000 0.1440  4 Co 2.37

=====

(8)
Material: Li2CuPt
Method: DFT, SCAN
State: single point on PBEsol structure

Summary:
As for the density of states at the Fermi level: 0.999 states/eV/cell. The value obtained for the calculated volume is 50.6 Å³/cell. Its crystal system is orthorhombic. The value obtained for the energy above the lowest structure with this stoichiometry is 0.0000 eV per atom. Its formation energy is -0.43 eV per atom. The space group is Immm (71). As for the total energy: -22.970 eV per atom.

Cell lengths 2.8805, 4.2374, 4.8755 Å; angles 115.76, 107.18, 90.00 degrees
With the nearest neighbours (Å) after each atom.
Fractional positions:
Cu: 0.0000 0.5000 0.0000  4 Li 2.49, 4 Pt 2.56
Li: 0.7441 0.7441 0.4882  2 Cu 2.49, 4 Li 2.56, 2 Pt 2.57
Li: 0.2559 0.2559 0.5118  2 Cu 2.49, 4 Li 2.56, 2 Pt 2.57
Pt: 0.5000 0.0000 0.0000  4 Cu 2.56, 4 Li 2.57

=====

(9)
Material: NbMo2F
Method: DFT, SCAN
State: single point on PBEsol structure

Summary:
As for the density of states at the Fermi level: 4.843 states/eV/cell. The value obtained for the calculated volume is 59.2 Å³/cell. For the raw formation energy, the calculation gives 199 kJ/mol of formula units. Its crystal system is cubic. The space group is Fm-3m (225). As for the total energy: -26.095 eV per atom.

Cell lengths 4.3748, 4.3748, 4.3748 Å; angles 60.00, 60.00, 60.00 degrees
With the nearest neighbours (Å) after each atom.
Fractional positions:
Nb: 0.5000 0.5000 0.5000  8 Mo 2.68
Mo: 0.2500 0.2500 0.2500  4 F 2.68, 4 Nb 2.68
Mo: 0.7500 0.7500 0.7500  4 Nb 2.68, 4 F 2.68
F: 0.0000 0.0000 0.0000  8 Mo 2.68

=====

(10)
Material: CsBe2Pt2
Method: DFT, SCAN
State: single point on PBEsol structure

Summary:
As for the density of states at the Fermi level: 1.816 states/eV/cell. The value obtained for the calculated volume is 97.5 Å³/cell. Its crystal system is tetragonal. Its formation energy is -0.30 eV per atom. The space group is I4/mmm (139). As for the total energy: -37.684 eV per atom.

Cell lengths 3.6477, 3.6477, 7.7707 Å; angles 103.57, 103.57, 90.00 degrees
With the nearest neighbours (Å) after each atom.
Fractional positions:
Pt: 0.6613 0.6613 0.3225  4 Be 2.24
Pt: 0.3387 0.3387 0.6775  4 Be 2.24
Be: 0.2500 0.7500 0.5000  4 Pt 2.24
Be: 0.7500 0.2500 0.5000  4 Pt 2.24
Cs: 0.0000 0.0000 0.0000  8 Pt 3.50, 4 Cs 3.65

=====

(11)
Material: CoP3O9
Method: DFT, SCAN
State: single point on PBEsol structure

Summary:
As for the density of states at the Fermi level: 0.000 states/eV/cell. The value obtained for the calculated volume is 715.0 Å³/cell. For the raw formation energy, the calculation gives -2729 kJ/mol of formula units. Its crystal system is orthorhombic. The space group is Pbcm (57). As for the total energy: -10.220 eV per atom.

Cell lengths 4.8651, 11.5736, 12.6985 Å; angles 90.00, 90.00, 90.00 degrees
With the nearest neighbours (Å) after each atom.
Fractional positions:
O: 0.5624 0.2052 0.9109  2 P 1.60
O: 0.8151 0.5571 0.8796  1 P 1.51
O: 0.0751 0.6507 0.0465  1 P 1.50
O: 0.6792 0.9884 0.5830  1 P 1.50
O: 0.0751 0.8493 0.9535  1 P 1.50
O: 0.3208 0.0116 0.4170  1 P 1.50
O: 0.1849 0.0571 0.8796  1 P 1.51
O: 0.5624 0.2948 0.0891  2 P 1.60
O: 0.5624 0.2948 0.4109  2 P 1.60
O: 0.3208 0.4884 0.9170  1 P 1.50
O: 0.5590 0.0946 0.7500  2 P 1.58
O: 0.5624 0.2052 0.5891  2 P 1.60
O: 0.5590 0.4054 0.2500  2 P 1.58
O: 0.4376 0.7052 0.5891  2 P 1.60
O: 0.9249 0.3493 0.5465  1 P 1.50
O: 0.8151 0.5571 0.6204  1 P 1.51
O: 0.8151 0.9429 0.1204  1 P 1.51
O: 0.6792 0.5116 0.0830  1 P 1.50
O: 0.6792 0.5116 0.4170  1 P 1.50
O: 0.4376 0.7052 0.9109  2 P 1.60
O: 0.1849 0.0571 0.6204  1 P 1.51
O: 0.0751 0.6507 0.4535  1 P 1.50
O: 0.8151 0.9429 0.3796  1 P 1.51
O: 0.1849 0.4429 0.1204  1 P 1.51
O: 0.4410 0.5946 0.7500  2 P 1.58
O: 0.4376 0.7948 0.4109  2 P 1.60
O: 0.9249 0.1507 0.0465  1 P 1.50
O: 0.6792 0.9884 0.9170  1 P 1.50
O: 0.0751 0.8493 0.5465  1 P 1.50
O: 0.4376 0.7948 0.0891  2 P 1.60
O: 0.3208 0.0116 0.0830  1 P 1.50
O: 0.9249 0.3493 0.9535  1 P 1.50
O: 0.1849 0.4429 0.3796  1 P 1.51
O: 0.9249 0.1507 0.4535  1 P 1.50
O: 0.3208 0.4884 0.5830  1 P 1.50
O: 0.4410 0.9054 0.2500  2 P 1.58
Co: 0.0000 0.0000 0.5000  6 O 1.88-1.89
Co: 0.0000 0.0000 0.0000  6 O 1.88-1.89
Co: 0.0000 0.5000 0.5000  6 O 1.88-1.89
Co: 0.0000 0.5000 0.0000  6 O 1.88-1.89
P: 0.5100 0.9222 0.3707  4 O 1.50-1.60
P: 0.2323 0.7500 0.5000  4 O 1.50-1.60
P: 0.4900 0.0778 0.8707  4 O 1.50-1.60
P: 0.7677 0.2500 0.0000  4 O 1.50-1.60
P: 0.4900 0.4222 0.3707  4 O 1.50-1.60
P: 0.4900 0.0778 0.6293  4 O 1.50-1.60
P: 0.5100 0.5778 0.6293  4 O 1.50-1.60
P: 0.5100 0.5778 0.8707  4 O 1.50-1.60
P: 0.2323 0.7500 0.0000  4 O 1.50-1.60
P: 0.5100 0.9222 0.1293  4 O 1.50-1.60
P: 0.4900 0.4222 0.1293  4 O 1.50-1.60
P: 0.7677 0.2500 0.5000  4 O 1.50-1.60

=====

(12)
Material: Cs2AlSb
Method: DFT, SCAN
State: single point on PBEsol structure

Summary:
As for the density of states at the Fermi level: 0.035 states/eV/cell. The value obtained for the calculated volume is 161.7 Å³/cell. For the raw formation energy, the calculation gives 88 kJ/mol of formula units. Its crystal system is cubic. The space group is Fm-3m (225). As for the total energy: -29.930 eV per atom.

Cell lengths 6.1155, 6.1155, 6.1155 Å; angles 60.00, 60.00, 60.00 degrees
With the nearest neighbours (Å) after each atom.
Fractional positions:
Cs: 0.2500 0.2500 0.2500  4 Sb 3.74, 4 Al 3.74
Cs: 0.7500 0.7500 0.7500  4 Sb 3.74, 4 Al 3.74
Al: 0.0000 0.0000 0.0000  8 Cs 3.74
Sb: 0.5000 0.5000 0.5000  8 Cs 3.74

=====

Q: The lowest calculated volume belongs to which entry?
A: ZnFeNi2